Na2HfMn3O6: relaxed, GGA+U.

The space group is C2/m (No. 12) and the conventional cell measures 5.6675, 9.7052 and 5.5094 Å, with angles of 90.00, 110.84 and 90.00 degrees. The inequivalent atoms are Na at (0.0000, 0.1657, 0.0000), Hf at (0.0000, 0.5000, 0.0000), Mn at (0.0000, 0.0000, 0.5000), Mn at (0.0000, 0.3306, 0.5000), O at (0.2156, 0.5000, 0.7589) and O at (0.2360, 0.3487, 0.2568).

The magnetization comes out at 30.0 Bohr magnetons per cell. The calculation puts the raw total energy at -7.484 eV/atom. For the density of states at the Fermi level, the calculation gives 0.000 states/eV per atom.